# 1
HfCo3B3 after structural relaxation, computed with GGA-PBE.

Cell lengths 5.373, 5.373, 5.373 Å; angles 90.00, 90.00, 90.00 degrees
Space group Pm-3n (No. 223)
Asymmetric unit:
Hf: 0.000 0.000 0.000 x2
Co: 0.000 0.250 0.500 x6
B: 0.000 0.500 0.250 x6

## Properties
- N(E_F): 6.808 states/eV/f.u.
- Uncorrected energy: -102.43 eV/cell
- Energy of formation: 12.6 meV/atom



# 2
LaTb2NdDy5 after structural relaxation, computed with GGA-PBE.

Cell lengths 8.796, 8.796, 15.403 Å; angles 90.00, 90.00, 90.00 degrees
Space group I4/mcm (No. 140)
Asymmetric unit:
La: 0.000 0.000 0.250 x4
Tb: 0.117 0.383 0.000 x8
Nd: 0.000 0.500 0.250 x4
Dy: 0.000 0.000 0.000 x4
Dy: 0.204 0.296 0.367 x16

## Properties
- N(E_F): 10.912 states/eV/f.u.
- Uncorrected energy: -158.27 eV/cell
- Energy of formation: 266.5 meV/atom



# 3
Pm4Y3Th after structural relaxation, computed with GGA-PBE.

Cell lengths 23.689, 3.471, 6.868 Å; angles 90.00, 106.51, 90.00 degrees
Space group C2/m (No. 12)
Asymmetric unit:
Pm: 0.122 0.000 0.361 x4
Pm: 0.242 0.500 0.238 x4
Y: 0.000 0.000 0.500 x2
Y: 0.123 0.000 0.884 x4
Th: 0.000 0.500 0.000 x2

## Properties
- N(E_F): 14.112 states/eV/f.u.
- Uncorrected energy: -88.90 eV/cell
- Energy of formation: 170.3 meV/atom
- Distance to the lowest polymorph of the same formula: 0.150 eV per atom



# 4
Sr2GePN after structural relaxation, computed with GGA-PBE.

Cell lengths 6.672, 3.927, 9.326 Å; angles 90.00, 108.91, 90.00 degrees
Space group P2_1/m (No. 11)
Asymmetric unit:
Sr: 0.203 0.250 0.457 x2
Sr: 0.210 0.250 0.878 x2
Ge: 0.467 0.750 0.698 x2
P: 0.322 0.750 0.162 x2
N: 0.179 0.750 0.684 x2

## Properties
- N(E_F): 0.181 states/eV/f.u.
- Uncorrected energy: -50.48 eV/cell
- Energy relative to the elements, uncorrected: -0.70 eV per atom



# 5
Li2HoErSe4 after structural relaxation, computed with GGA-PBE.

Cell lengths 6.896, 4.046, 7.004 Å; angles 90.00, 109.77, 90.00 degrees
Space group P2/m (No. 10)
Asymmetric unit:
Li: 0.000 0.000 0.000 x1
Li: 0.000 0.500 0.500 x1
Ho: 0.500 0.000 0.500 x1
Er: 0.500 0.500 0.000 x1
Se: 0.248 0.000 0.750 x2
Se: 0.248 0.500 0.249 x2

## Properties
- N(E_F): 0.000 states/eV/f.u.
- Uncorrected energy: -40.49 eV/cell
- Energy relative to the elements, uncorrected: -1.70 eV per atom



# 6
K2BaNa16 after structural relaxation, computed with GGA-PBE.

Cell lengths 12.4115, 12.4115, 18.4641 Å; angles 90.00, 90.00, 120.00 degrees
Space group R3m (No. 160, hexagonal axes)
Asymmetric unit:
K: 0.0000 0.0000 0.0000 x3
K: 0.0000 0.0000 0.3128 x3
Ba: 0.0000 0.0000 0.5630 x3
Na: 0.0000 0.0000 0.7696 x3
Na: 0.9997 0.3037 0.6627 x18
Na: 0.0008 0.5004 0.5090 x9
Na: 0.0155 0.5078 0.8149 x9
Na: 0.1746 0.3492 0.4942 x9

## Properties
- N(E_F): 10.179 states/eV/f.u.
- Uncorrected energy: -74.16 eV/cell
- Energy of formation: 26.4 meV/atom



# 7
CaEuPdAu after structural relaxation, computed with GGA-PBE.

Cell lengths 7.284, 7.284, 7.284 Å; angles 90.00, 90.00, 90.00 degrees
Space group F-43m (No. 216)
Asymmetric unit:
Ca: 0.000 0.000 0.000 x4
Eu: 0.000 0.000 0.500 x4
Pd: 0.250 0.250 0.250 x4
Au: 0.250 0.250 0.750 x4

## Properties
- N(E_F): 10.481 states/eV/f.u.
- Uncorrected energy: -94.48 eV/cell
- Energy of formation: -718.2 meV/atom



# 8
CrCu2Au after structural relaxation, computed with GGA-PBE.

Cell lengths 2.7143, 2.7143, 26.4069 Å; angles 90.00, 90.00, 120.00 degrees
Space group R-3m (No. 166, hexagonal axes)
Asymmetric unit:
Cr: 0.0000 0.0000 0.0000 x3
Cu: 0.0000 0.0000 0.2555 x6
Au: 0.0000 0.0000 0.5000 x3

## Properties
- N(E_F): 2.262 states/eV/f.u.
- Uncorrected energy: -59.65 eV/cell
- Energy of formation: 302.5 meV/atom



# 9
PmPaMnN4 after structural relaxation, computed with GGA-PBE.

Cell lengths 3.705, 3.705, 12.389 Å; angles 90.00, 90.00, 90.00 degrees
Space group I4mm (No. 107)
Asymmetric unit:
Pm: 0.000 0.000 0.000 x2
Pa: 0.000 0.000 0.716 x2
Mn: 0.000 0.000 0.349 x2
N: 0.000 0.000 0.187 x2
N: 0.000 0.000 0.541 x2
N: 0.000 0.500 0.348 x4

## Properties
- N(E_F): 2.804 states/eV/f.u.
- Uncorrected energy: -128.77 eV/cell
- Energy relative to the elements, uncorrected: -1.10 eV per atom



# 10
PuScGa6 after structural relaxation, computed with GGA-PBE.

Cell lengths 4.208, 4.208, 8.367 Å; angles 90.00, 90.00, 90.00 degrees
Space group P4/mmm (No. 123)
Asymmetric unit:
Pu: 0.000 0.000 0.000 x1
Sc: 0.000 0.000 0.500 x1
Ga: 0.000 0.500 0.257 x4
Ga: 0.500 0.500 0.000 x1
Ga: 0.500 0.500 0.500 x1

## Properties
- N(E_F): 10.759 states/eV/f.u.
- Uncorrected energy: -42.36 eV/cell
- Energy of formation: -441.8 meV/atom
- Distance to the lowest polymorph of the same formula: 0.000 eV per atom



# 11
AcPaZnSn after structural relaxation, computed with GGA-PBE.

Cell lengths 7.683, 7.683, 7.683 Å; angles 90.00, 90.00, 90.00 degrees
Space group F-43m (No. 216)
Asymmetric unit:
Ac: 0.000 0.000 0.000 x4
Pa: 0.000 0.000 0.500 x4
Zn: 0.250 0.250 0.250 x4
Sn: 0.250 0.250 0.750 x4

## Properties
- N(E_F): 8.998 states/eV/f.u.
- Uncorrected energy: -76.00 eV/cell
- Energy of formation: -29.5 meV/atom



# 12
PmMgTcH6 after structural relaxation, computed with GGA-PBE.

Cell lengths 4.7262, 4.7262, 4.5174 Å; angles 90.00, 90.00, 120.00 degrees
Space group P3 (No. 143)
Asymmetric unit:
Pm: 0.0000 0.0000 0.0000 x1
Mg: 0.3333 0.6667 0.5479 x1
Tc: 0.6667 0.3333 0.6566 x1
H: 0.3150 0.1865 0.4352 x3
H: 0.4950 0.0013 0.9043 x3

## Properties
- N(E_F): 0.787 states/eV/f.u.
- Uncorrected energy: -40.02 eV/cell



# 13
Li2CaZnCd4 after structural relaxation, computed with GGA-PBE.

Cell lengths 4.7237, 4.7237, 26.9733 Å; angles 90.00, 90.00, 120.00 degrees
Space group R-3m (No. 166, hexagonal axes)
Asymmetric unit:
Li: 0.0000 0.0000 0.2395 x6
Ca: 0.0000 0.0000 0.0000 x3
Zn: 0.0000 0.0000 0.5000 x3
Cd: 0.0000 0.0000 0.1274 x6
Cd: 0.0000 0.0000 0.3963 x6

## Properties
- N(E_F): 3.566 states/eV/f.u.
- Uncorrected energy: -36.72 eV/cell
- Energy of formation: -184.4 meV/atom



# 14
Pm2Y2Co after structural relaxation, computed with GGA-PBE.

Cell lengths 23.979, 4.092, 6.087 Å; angles 90.00, 91.28, 90.00 degrees
Space group C2/m (No. 12)
Asymmetric unit:
Pm: 0.055 0.000 0.232 x4
Pm: 0.189 0.500 0.052 x4
Y: 0.068 0.500 0.724 x4
Y: 0.188 0.000 0.535 x4
Co: 0.126 0.000 0.895 x4

## Properties
- N(E_F): 7.040 states/eV/f.u.
- Uncorrected energy: -118.68 eV/cell
- Energy of formation: -26.9 meV/atom



# 15
DyPaPt6 after structural relaxation, computed with GGA-PBE.

Cell lengths 4.151, 4.151, 8.266 Å; angles 90.00, 90.00, 90.00 degrees
Space group P4/mmm (No. 123)
Asymmetric unit:
Dy: 0.000 0.000 0.000 x1
Pa: 0.000 0.000 0.500 x1
Pt: 0.000 0.500 0.254 x4
Pt: 0.500 0.500 0.000 x1
Pt: 0.500 0.500 0.500 x1

## Properties
- N(E_F): 1.763 states/eV/f.u.
- Uncorrected energy: -58.99 eV/cell
- Energy of formation: -1080.9 meV/atom



# 16
Tb3GaBi after structural relaxation, computed with GGA-PBE.

Cell lengths 4.359, 7.076, 9.621 Å; angles 90.00, 90.00, 90.00 degrees
Space group Pmmn (No. 59, origin choice 2)
Asymmetric unit:
Tb: 0.250 0.014 0.161 x4
Tb: 0.250 0.250 0.589 x2
Ga: 0.250 0.250 0.898 x2
Bi: 0.250 0.750 0.649 x2

## Properties
- N(E_F): 4.926 states/eV/f.u.
- Uncorrected energy: -46.71 eV/cell
- Energy of formation: -511.1 meV/atom



# 17
NbTeI2O after structural relaxation, computed with GGA-PBE.

Cell lengths 6.112, 6.112, 4.031 Å; angles 90.00, 90.00, 90.00 degrees
Space group P4/mmm (No. 123)
Asymmetric unit:
Nb: 0.000 0.000 0.000 x1
Te: 0.500 0.500 0.500 x1
I: 0.000 0.500 0.500 x2
O: 0.500 0.500 0.000 x1

## Properties
- N(E_F): 3.776 states/eV/f.u.
- Uncorrected energy: -18.53 eV/cell
- Distance to the lowest polymorph of the same formula: 0.965 eV per atom
- Energy relative to the elements, uncorrected: 0.55 eV per atom



# 18
ZnSiRh2 after structural relaxation, computed with GGA-PBE.

Cell lengths 3.6550, 3.6550, 15.9379 Å; angles 90.00, 90.00, 120.00 degrees
Space group R3m (No. 160, hexagonal axes)
Asymmetric unit:
Zn: 0.0000 0.0000 0.0000 x3
Si: 0.0000 0.0000 0.1701 x3
Rh: 0.0000 0.0000 0.5682 x3
Rh: 0.0000 0.0000 0.7671 x3

## Properties
- N(E_F): 2.469 states/eV/f.u.
- Uncorrected energy: -69.48 eV/cell
- Distance to the lowest polymorph of the same formula: 0.237 eV per atom
- Energy relative to the elements, uncorrected: -0.44 eV per atom



# 19
Ba2NpS4 after structural relaxation, computed with GGA-PBE.

Cell lengths 5.181, 5.181, 15.926 Å; angles 90.00, 90.00, 90.00 degrees
Space group I4/mmm (No. 139)
Asymmetric unit:
Ba: 0.000 0.000 0.140 x4
Np: 0.000 0.000 0.500 x2
S: 0.000 0.000 0.333 x4
S: 0.000 0.500 0.000 x4

## Properties
- N(E_F): 8.978 states/eV/f.u.
- Uncorrected energy: -91.08 eV/cell
- Distance to the lowest polymorph of the same formula: 0.018 eV per atom
- Energy relative to the elements, uncorrected: -1.75 eV per atom



# 20
AcBiPtAu after structural relaxation, computed with GGA-PBE.

Cell lengths 7.416, 7.416, 7.416 Å; angles 90.00, 90.00, 90.00 degrees
Space group F-43m (No. 216)
Asymmetric unit:
Ac: 0.000 0.000 0.000 x4
Bi: 0.000 0.000 0.500 x4
Pt: 0.250 0.250 0.750 x4
Au: 0.250 0.250 0.250 x4

## Properties
- N(E_F): 3.090 states/eV/f.u.
- Uncorrected energy: -79.40 eV/cell
- Energy of formation: -635.7 meV/atom